# 1
An optimized crystal structure of Dy2Pd2Pt3, computed with GGA-PBE.

POSCAR file:
```
Dy2Pd2Pt3
1.0
-3.274 2.001 -1.567
-1.272 -3.625 3.510
3.943 7.955 1.922
Dy Pd Pt
2 2 3
Cartesian
-1.558 -0.413 2.729
0.955 6.744 1.137
-0.792 4.445 1.850
0.189 1.886 2.016
1.457 5.064 3.425
1.972 3.978 0.961
-2.060 1.268 0.441
```

Computed properties:
Its space group is C2/m. As for the formation enthalpy at 0 K: -844 meV/atom. Its energy above the most stable polymorph in this dataset is 0 meV/atom.


# 2
An optimized crystal structure of TiAsS2N, computed with GGA-PBE.

POSCAR file:
```
TiAsS2N
1.0
-0.379 2.496 4.160
-4.725 -1.133 0.250
0.833 -3.051 1.907
As S Ti N
1 2 1 1
Cartesian
-2.136 -0.844 3.158
-2.363 -0.567 0.125
-0.189 1.248 2.080
0.000 0.000 0.000
0.416 -1.526 0.953
```

Computed properties:
Its space group is P4/mmm. The value obtained for the formation energy (no corrections) is 0.1130 eV per atom. Its energy above the most stable polymorph in this dataset is 0 meV/atom.


# 3
An optimized crystal structure of AcLa12Sm3, computed with GGA-PBE.

POSCAR file:
```
AcLa12Sm3
1.0
5.268 0.000 0.000
0.000 5.268 0.000
0.000 0.000 21.070
La Ac Sm
12 1 3
Cartesian
2.634 2.634 0.000
2.634 2.634 10.535
2.634 0.000 13.134
2.634 0.000 2.727
0.000 2.634 18.342
0.000 2.634 13.134
0.000 2.634 7.935
2.634 0.000 7.935
2.634 2.634 5.354
2.634 0.000 18.342
2.634 2.634 15.716
0.000 2.634 2.727
0.000 0.000 0.000
0.000 0.000 10.535
0.000 0.000 15.737
0.000 0.000 5.332
```

Computed properties:
Its space group is P4/mmm. As for the formation enthalpy at 0 K: 11 meV/atom.


# 4
An optimized crystal structure of Th2BiTeH2, computed with GGA-PBE.

POSCAR file:
```
Th2BiTeH2
1.0
-1.606 0.845 3.742
-2.512 -0.499 -3.277
-0.532 -8.635 1.722
Th H Bi Te
2 2 1 1
Cartesian
-2.610 -6.536 0.356
-2.041 -1.752 1.831
-2.342 -2.191 -0.510
-2.308 -6.097 2.698
-0.266 -4.317 0.861
0.000 0.000 0.000
```

Computed properties:
Its space group is P-3m1. The electronic total energy comes out at -5.53 eV per atom.


# 5
An optimized crystal structure of KSmPuCl6, computed with GGA-PBE.

POSCAR file:
```
KSmPuCl6
1.0
7.225 0.000 0.000
-3.613 6.257 0.000
0.000 0.000 13.738
Cl K Pu Sm
12 2 2 2
Cartesian
0.994 6.193 11.858
2.359 3.957 1.880
5.860 2.236 1.880
4.866 3.957 4.989
-2.248 4.022 11.858
2.248 4.022 8.749
1.254 2.300 11.858
4.607 0.064 4.989
-0.994 6.193 8.749
1.365 2.236 4.989
-1.254 2.300 8.749
2.618 0.064 1.880
0.000 0.000 0.000
0.000 0.000 6.869
3.613 2.086 10.304
0.000 4.171 3.435
0.000 4.171 10.304
3.613 2.086 3.435
```

Computed properties:
Its space group is P-31c. The value obtained for the formation energy (no corrections) is -2.0529 eV per atom.


# 6
An optimized crystal structure of CaRe2TcSe, computed with GGA-PBE.

POSCAR file:
```
CaRe2TcSe
1.0
-0.417 4.412 1.223
-4.625 -0.763 1.174
1.265 -1.069 4.289
Re Tc Ca Se
2 1 1 1
Cartesian
-0.209 2.206 0.611
0.632 -0.534 2.144
-1.889 1.290 3.343
0.000 0.000 0.000
-2.313 -0.381 0.587
```

Computed properties:
Its space group is P4/mmm. The value obtained for the formation energy (no corrections) is 3.0690 eV per atom. Its energy above the most stable polymorph in this dataset is 1971 meV/atom.